BiAsAu: relaxed, GGA-PBE.

Cell and atoms, written as CIF:
```
data_BiAsAu
_cell_length_a 4.1431
_cell_length_b 4.1431
_cell_length_c 4.8827
_cell_angle_alpha 90.00
_cell_angle_beta 90.00
_cell_angle_gamma 120.00
_space_group_name_H-M_alt 'P 3 m 1'
_space_group_IT_number 156
loop_
_space_group_symop_operation_xyz
'x,y,z'
'-y,x-y,z'
'-x+y,-x,z'
'-y,-x,z'
'-x+y,y,z'
'x,x-y,z'
loop_
_atom_site_label
_atom_site_type_symbol
_atom_site_fract_x
_atom_site_fract_y
_atom_site_fract_z
_atom_site_occupancy
Bi1 Bi 0.0000 0.0000 0.0000 1
As1 As 0.6667 0.3333 0.5826 1
Au1 Au 0.3333 0.6667 0.3434 1
```

Computed properties:
Energy above the most stable polymorph in this dataset (meV/atom): 30
VASP energy (eV/atom): -3.910
Energy relative to the elements (eV per atom): 0.026